No. 1
FeAgSn | OQMD | PBE-GGA | relaxed; energy relative to the lowest polymorph listed for this composition = 0 meV/atom; space-group type = F-43m (216)
1.0
0.000 3.106 3.106
3.106 0.000 3.106
3.106 3.106 0.000
Fe Ag Sn
1 1 1
Cartesian
0.000 0.000 0.000
4.658 4.658 4.658
1.553 1.553 1.553

***

No. 2
Ga2Pd7 | OQMD | PBE-GGA | relaxed; DFT total energy = -4.768 eV/atom; space-group type = P-3m1 (164)
1.0
2.821 0.000 0.000
-1.410 2.443 0.000
0.000 0.000 32.707
Ga Pd
2 7
Cartesian
0.000 1.628 7.427
1.410 0.814 25.280
0.000 0.000 9.509
0.000 0.000 16.353
0.000 0.000 23.198
0.000 1.628 14.098
0.000 1.628 20.879
1.410 0.814 11.827
1.410 0.814 18.609

***

No. 3
ScAgTeO | OQMD | PBE-GGA | relaxed; energy relative to the lowest polymorph listed for this composition = 216 meV/atom; space-group type = Pmc2_1 (26)
1.0
4.527 0.000 0.000
0.000 7.398 0.000
0.000 0.000 5.841
Sc Ag Te O
2 2 2 2
Cartesian
0.000 0.928 0.000
0.000 6.470 2.921
2.264 2.074 3.732
2.264 5.324 0.812
2.264 2.405 0.887
2.264 4.993 3.808
0.000 0.722 3.929
0.000 6.676 1.009

***

No. 4
TbDySi2 | OQMD | PBE-GGA | relaxed; DFT total energy = -5.851 eV/atom; space-group type = P2_1/m (11)
1.0
5.715 0.000 0.000
0.000 3.843 0.000
-0.004 0.000 7.925
Tb Dy Si
2 2 4
Cartesian
0.656 0.961 1.419
5.054 2.882 6.506
2.197 0.961 5.382
3.513 2.882 2.544
0.734 2.882 3.662
2.118 2.882 7.624
3.593 0.961 0.302
4.976 0.961 4.263

***

No. 5
BeAsPdO | OQMD | PBE-GGA | relaxed; energy relative to the lowest polymorph listed for this composition = 1110 meV/atom; space-group type = P4/nmm (129)
1.0
3.752 0.000 0.000
0.000 3.752 0.000
0.000 0.000 7.900
Be As Pd O
2 2 2 2
Cartesian
0.938 2.814 0.000
2.814 0.938 0.000
0.938 0.938 1.377
2.814 2.814 6.523
0.938 0.938 4.920
2.814 2.814 2.979
0.938 2.814 3.950
2.814 0.938 3.950

***

No. 6
Zn5CuP3 | OQMD | PBE-GGA | relaxed; DFT total energy = -2.771 eV/atom; space-group type = P2 (3)
1.0
5.394 0.000 0.000
0.000 5.726 0.000
-0.361 0.000 5.397
Zn Cu P
5 1 3
Cartesian
0.000 0.000 0.000
0.884 3.863 4.235
1.562 1.094 1.678
3.472 1.094 3.719
4.149 3.863 1.163
2.517 3.083 2.699
0.000 2.335 0.000
-0.180 5.370 2.699
2.697 5.378 0.000

***

No. 7
ZnFeCoB | OQMD | PBE-GGA | relaxed; energy relative to the lowest polymorph listed for this composition = 100 meV/atom; space-group type = F-43m (216)
1.0
0.000 2.746 2.746
2.746 0.000 2.746
2.746 2.746 0.000
Zn Fe Co B
1 1 1 1
Cartesian
0.000 0.000 0.000
2.746 2.746 2.746
1.373 1.373 1.373
4.118 4.118 4.118

***

No. 8
KAlCu | OQMD | PBE-GGA | relaxed; energy relative to the lowest polymorph listed for this composition = 0 meV/atom; space-group type = F-43m (216)
1.0
0.000 3.430 3.430
3.430 0.000 3.430
3.430 3.430 0.000
K Al Cu
1 1 1
Cartesian
0.000 0.000 0.000
3.430 3.430 3.430
5.145 5.145 5.145

***

No. 9
HfMgMo | OQMD | PBE-GGA | relaxed; energy relative to the lowest polymorph listed for this composition = 328 meV/atom; space-group type = F-43m (216)
1.0
0.000 3.246 3.246
3.246 0.000 3.246
3.246 3.246 0.000
Hf Mg Mo
1 1 1
Cartesian
0.000 0.000 0.000
4.869 4.869 4.869
1.623 1.623 1.623

***

No. 10
Er3GeP | OQMD | PBE-GGA | relaxed; DFT total energy = -5.367 eV/atom; space-group type = Imma (74)
1.0
-3.750 5.071 3.686
3.750 -5.071 3.686
3.750 5.071 -3.686
Er Ge P
6 2 2
Cartesian
1.875 4.201 -1.843
1.875 -0.870 1.843
0.000 2.536 1.569
3.750 2.536 2.117
-1.875 5.941 1.843
1.875 5.941 1.843
0.000 0.000 0.000
0.000 5.071 0.000
3.750 2.536 -0.593
0.000 2.536 4.278

***

No. 11
LuMg2Sn | OQMD | PBE-GGA | relaxed; energy relative to the lowest polymorph listed for this composition = 202 meV/atom; space-group type = F-43m (216)
1.0
0.000 3.644 3.644
3.644 0.000 3.644
3.644 3.644 0.000
Lu Mg Sn
1 2 1
Cartesian
0.000 0.000 0.000
1.822 1.822 1.822
3.644 3.644 3.644
5.466 5.466 5.466

***

No. 12
KHfPd | OQMD | PBE-GGA | relaxed; DFT total energy = -3.834 eV/atom; space-group type = F-43m (216)
1.0
0.000 3.330 3.330
3.330 0.000 3.330
3.330 3.330 0.000
K Hf Pd
1 1 1
Cartesian
0.000 0.000 0.000
4.995 4.995 4.995
1.665 1.665 1.665